VASP calculation (PBE-GGA) on an optimized crystal structure of SmEuLuHg.

Output
As for the electronic total energy: -20.04 eV/cell.

Unit cell a=5.518 b=5.518 c=5.518 alpha=60.00 beta=60.00 gamma=60.00
Positions (direct):
Sm: 0.000 0.000 0.000
Eu: 0.500 0.500 0.500
Lu: 0.250 0.250 0.250
Hg: 0.750 0.750 0.750


VASP calculation (PBE-GGA) on an optimized crystal structure of EuLuSnHg.

Output
As for the electronic total energy: -21.26 eV/cell.

Unit cell a=5.356 b=5.356 c=5.356 alpha=60.00 beta=60.00 gamma=60.00
Positions (direct):
Eu: 0.000 0.000 0.000
Lu: 0.500 0.500 0.500
Sn: 0.750 0.750 0.750
Hg: 0.250 0.250 0.250


VASP calculation (PBE-GGA) on an optimized crystal structure of EuLuTlHg.

Output
As for the electronic total energy: -19.08 eV/cell.

Unit cell a=5.390 b=5.390 c=5.390 alpha=60.00 beta=60.00 gamma=60.00
Positions (direct):
Eu: 0.000 0.000 0.000
Lu: 0.500 0.500 0.500
Tl: 0.750 0.750 0.750
Hg: 0.250 0.250 0.250


VASP calculation (PBE-GGA) on an optimized crystal structure of EuMgHg2.

Output
As for the electronic total energy: -14.01 eV/cell. The distance to the lowest polymorph of the same formula is 4.9 kJ per mole of atoms.

Unit cell a=3.544 b=3.544 c=7.959 alpha=90.00 beta=90.00 gamma=90.00
Positions (direct):
Eu: 0.000 0.000 0.000
Mg: 0.000 0.000 0.500
Hg: 0.500 0.500 0.275
Hg: 0.500 0.500 0.725


VASP calculation (PBE-GGA) on an optimized crystal structure of EuMgHg2.

Output
As for the electronic total energy: -13.84 eV/cell. The distance to the lowest polymorph of the same formula is 8.9 kJ per mole of atoms.

Unit cell a=5.199 b=5.199 c=3.854 alpha=90.00 beta=90.00 gamma=90.00
Positions (direct):
Eu: 0.000 0.000 0.000
Mg: 0.500 0.500 0.000
Hg: 0.000 0.500 0.500
Hg: 0.500 0.000 0.500


VASP calculation (PBE-GGA) on an optimized crystal structure of EuMgHg2.

Output
As for the electronic total energy: -14.21 eV/cell. The distance to the lowest polymorph of the same formula is 0.0 kJ per mole of atoms.

Unit cell a=5.222 b=5.222 c=5.222 alpha=60.00 beta=60.00 gamma=60.00
Positions (direct):
Eu: 0.000 0.000 0.000
Mg: 0.500 0.500 0.500
Hg: 0.250 0.250 0.250
Hg: 0.750 0.750 0.750


VASP calculation (PBE-GGA) on an optimized crystal structure of EuMgHg4.

Output
As for the electronic total energy: -14.00 eV/cell.

Unit cell a=6.073 b=6.073 c=6.073 alpha=60.00 beta=60.00 gamma=60.00
Positions (direct):
Eu: 0.000 0.000 0.000
Mg: 0.750 0.750 0.750
Hg: 0.375 0.375 0.375
Hg: 0.375 0.375 0.875
Hg: 0.375 0.875 0.375
Hg: 0.875 0.375 0.375


VASP calculation (PBE-GGA) on an optimized crystal structure of EuMgNiHg.

Output
As for the electronic total energy: -18.47 eV/cell.

Unit cell a=4.992 b=4.992 c=4.992 alpha=60.00 beta=60.00 gamma=60.00
Positions (direct):
Eu: 0.000 0.000 0.000
Mg: 0.500 0.500 0.500
Ni: 0.250 0.250 0.250
Hg: 0.750 0.750 0.750


Question: Number 1 is which compound?
Answer: SmEuLuHg


Question: What is the electronic total energy in the second record?
Answer: -21.26 eV/cell


Question: Which value of electronic total energy does entry 1 give?
Answer: -20.04 eV/cell